## Sc2CoAg (GGA-PBE)

Data for a relaxed structure of Sc2CoAg.

```
data_Sc2CoAg
_chemical_formula_sum 'Sc4 Co2 Ag2'
_symmetry_space_group_name_H-M 'C 1 m 1'
_symmetry_Int_Tables_number 8
_cell_length_a 10.4651
_cell_length_b 3.1054
_cell_length_c 4.6899
_cell_angle_alpha 90.00
_cell_angle_beta 108.36
_cell_angle_gamma 90.00
loop_
_symmetry_equiv_pos_as_xyz
'x,y,z'
'x,-y,z'
'x+1/2,y+1/2,z'
'x+1/2,-y+1/2,z'
loop_
_atom_site_label
_atom_site_type_symbol
_atom_site_fract_x
_atom_site_fract_y
_atom_site_fract_z
Sc1 Sc 0.0000 0.0000 0.0000
Sc2 Sc 0.2020 0.0000 0.6512
Co1 Co 0.2108 0.5000 0.1261
Ag1 Ag 0.4302 0.0000 0.4388
```

Summary:
DFT total energy ... -5.786 eV per atom
Total magnetization ... 0.001 μB/atom